Material: CaBiTe2
Method: DFT, SCAN
State: PBEsol geometry

Unit cell a=4.4351 b=4.4351 c=9.8677 alpha=77.01 beta=77.01 gamma=60.00
With the nearest neighbours (Å) after each atom.
Sites, in units of the cell vectors:
Ca 0.0000 0.0000 0.0000  2 Te 3.01
Te 0.1052 0.1052 0.6844  1 Ca 3.01, 3 Bi 3.11
Te 0.8948 0.8948 0.3156  1 Ca 3.01, 3 Bi 3.11
Bi 0.5000 0.5000 0.5000  6 Te 3.11

Output
Total energy: -40.985 eV per atom
Uncorrected formation energy: -29 kJ per mole of atoms
Space-group type: R-3m

Material: Ca2TlBi
Method: DFT, SCAN
State: PBEsol geometry

Unit cell a=5.4781 b=5.4781 c=5.4781 alpha=60.00 beta=60.00 gamma=60.00
With the nearest neighbours (Å) after each atom.
Sites, in units of the cell vectors:
Tl 0.0000 0.0000 0.0000  8 Ca 3.35
Ca 0.2500 0.2500 0.2500  4 Bi 3.35, 4 Tl 3.35
Ca 0.7500 0.7500 0.7500  4 Bi 3.35, 4 Tl 3.35
Bi 0.5000 0.5000 0.5000  8 Ca 3.35

Output
Total energy: -43.267 eV per atom
Energy relative to the elements: -0.701 eV/atom
Space-group type: Fm-3m

Material: CaYBi2
Method: DFT, SCAN
State: PBEsol geometry

Unit cell a=5.4830 b=5.4830 c=5.4830 alpha=60.00 beta=60.00 gamma=60.00
With the nearest neighbours (Å) after each atom.
Sites, in units of the cell vectors:
Y 0.5000 0.5000 0.5000  8 Bi 3.36
Ca 0.0000 0.0000 0.0000  8 Bi 3.36
Bi 0.2500 0.2500 0.2500  4 Ca 3.36, 4 Y 3.36
Bi 0.7500 0.7500 0.7500  4 Y 3.36, 4 Ca 3.36

Output
Total energy: -49.424 eV per atom
Energy relative to the elements: -0.758 eV/atom
Space-group type: Fm-3m

Material: CaY3Bi
Method: DFT, SCAN
State: PBEsol geometry

Unit cell a=5.8171 b=5.8171 c=5.8171 alpha=90.00 beta=90.00 gamma=90.00
With the nearest neighbours (Å) after each atom.
Sites, in units of the cell vectors:
Y 0.0000 0.5000 0.0000  2 Bi 2.91
Y 0.0000 0.0000 0.5000  2 Bi 2.91
Y 0.5000 0.0000 0.0000  2 Bi 2.91
Ca 0.5000 0.5000 0.5000  12 Y 4.11
Bi 0.0000 0.0000 0.0000  6 Y 2.91

Output
Total energy: -34.341 eV per atom
Energy relative to the elements: 0.013 eV/atom
Distance to the lowest polymorph of the same formula: 0 kJ/mol of formula units
Space-group type: Pm-3m